Entry 1:
Material: CaCrOs2
Method: DFT, PBE-GGA
State: optimized geometry

Computed properties:
raw total energy	-31.077	eV per cell
M_tot	0.160	μB/atom
energy of formation from the pure elements	72.5	kJ/mol of atoms
volume	15.65	Å³ per atom
ΔE to the lowest computed polymorph	378.2	meV per atom

```
CaCrOs2
1.0
3.062 0.000 0.000
0.000 4.522 0.000
0.000 0.000 4.522
Os Cr Ca
2 1 1
Cartesian
0.000 2.261 2.261
0.000 0.000 0.000
1.531 0.000 2.261
1.531 2.261 0.000
```

Entry 2:
Material: CaCr2Os
Method: DFT, PBE-GGA
State: optimized geometry

Computed properties:
raw total energy	-30.180	eV per cell
M_tot	0.107	μB/atom
energy of formation from the pure elements	55.4	kJ/mol of atoms
volume	17.38	Å³ per atom
ΔE to the lowest computed polymorph	149.7	meV per atom

```
CaCr2Os
1.0
4.908 0.002 0.010
4.024 2.809 0.010
1.481 0.466 5.049
Cr Os Ca
2 1 1
Cartesian
7.775 2.446 3.783
1.691 0.532 4.613
5.056 1.591 2.982
2.579 0.811 1.272
```

Entry 3:
Material: CaCrOs2
Method: DFT, PBE-GGA
State: optimized geometry

Computed properties:
raw total energy	-32.183	eV per cell
M_tot	0.818	μB/atom
energy of formation from the pure elements	45.9	kJ/mol of atoms
volume	17.57	Å³ per atom
ΔE to the lowest computed polymorph	101.6	meV per atom

```
CaCrOs2
1.0
2.823 0.527 0.000
-0.528 2.822 0.000
0.000 0.000 8.523
Ca Cr Os
1 1 2
Cartesian
0.000 0.000 4.093
1.147 1.675 6.850
1.147 1.675 1.762
0.000 0.000 0.079
```

Entry 4:
Material: Ca2CrOs
Method: DFT, PBE-GGA
State: optimized geometry

Computed properties:
raw total energy	-20.004	eV per cell
M_tot	0.001	μB/atom
energy of formation from the pure elements	117.0	kJ/mol of atoms
volume	20.48	Å³ per atom
ΔE to the lowest computed polymorph	982.8	meV per atom

```
Ca2CrOs
1.0
2.546 0.629 4.109
3.161 3.692 0.367
-0.987 3.772 2.926
Cr Os Ca
1 1 2
Cartesian
0.000 0.000 0.000
2.360 4.047 3.701
1.180 2.023 1.851
3.541 6.070 5.552
```